Entry from Alexandria via LeMat-Bulk: MgAlIr after structural relaxation (PBE).

Computed properties:
The formation energy comes out at -0.271 eV/atom. The volume comes out at 48.9 Å³/cell. The calculation puts the total moment at 0.00 μB per formula unit.

Cell: 2.911 2.911 6.669 Å, 90.00 90.00 120.00°
Fractional coordinates of all 3 atoms:
Al1 0.000 0.000 0.030
Ir1 0.667 0.333 0.321
Mg1 0.333 0.667 0.649